Ta2InAs | PBE | relaxed

It has space group Amm2 (No. 38), with a = 4.869 Å, b = 3.002 Å, c = 10.520 Å, α = 90.00°, β = 90.00° and γ = 90.00°. The inequivalent atoms are Ta at (0.000, 0.000, 0.000), Ta at (0.500, 0.000, 0.374), In at (0.000, 0.000, 0.739) and As at (0.500, 0.000, 0.091).

For the energy of formation, the calculation gives 102 meV/atom. As for the energy above the most stable polymorph in this dataset: 128 meV/atom. The calculation puts the spin magnetization at 0.0 μB per formula unit. The value obtained for the density of states at the Fermi level is 0.567 states/eV/atom.